1:
Below is LiSb2Pt2 after structural relaxation, with properties calculated at the PBE-GGA level.

Results
The calculation puts the magnetic moment at 0.000 μB/f.u. The calculation puts the volume at 100.0 Å³/f.u. As for the space-group type: No. 127.

abc: 7.4075 7.4075 3.6458
angles: 90.00 90.00 90.00
Last column: nearest neighbours and their distance in Å.
Fractional positions:
Sb 0.1681 0.6681 0.5000  6 Pt 2.74-2.91
Sb 0.6681 0.8319 0.5000  6 Pt 2.74-2.91
Sb 0.3319 0.1681 0.5000  6 Pt 2.74-2.91
Pt 0.6369 0.1369 0.0000  6 Sb 2.74-2.91, 1 Pt 2.87, 2 Li 2.87
Li 0.5000 0.5000 0.0000  4 Pt 2.87
Pt 0.3631 0.8631 0.0000  6 Sb 2.74-2.91, 1 Pt 2.87, 2 Li 2.87
Sb 0.8319 0.3319 0.5000  6 Pt 2.74-2.91
Pt 0.8631 0.6369 0.0000  6 Sb 2.74-2.91, 1 Pt 2.87, 2 Li 2.87
Pt 0.1369 0.3631 0.0000  6 Sb 2.74-2.91, 1 Pt 2.87, 2 Li 2.87
Li 0.0000 0.0000 0.0000  4 Pt 2.87

2:
Below is LiSb2Pt2 after structural relaxation, with properties calculated at the PBE-GGA level.

Results
The calculation puts the magnetic moment at 0.000 μB/f.u. The calculation puts the volume at 118.1 Å³/f.u. As for the space-group type: No. 139.

abc: 4.6379 4.6379 6.3934
angles: 68.73 68.73 90.00
Last column: nearest neighbours and their distance in Å.
Fractional positions:
Sb 0.6331 0.6331 0.7339  4 Pt 2.65, 1 Sb 2.92
Li 0.0000 0.0000 0.0000  8 Sb 3.59, 8 Pt 3.59
Sb 0.3669 0.3669 0.2661  4 Pt 2.65, 1 Sb 2.92
Pt 0.2500 0.7500 0.5000  4 Sb 2.65
Pt 0.7500 0.2500 0.5000  4 Sb 2.65

3:
Below is LiSb2Pt2 after structural relaxation, with properties calculated at the PBE-GGA level.

Results
The calculation puts the magnetic moment at 0.000 μB/f.u. The calculation puts the volume at 101.9 Å³/f.u. As for the space-group type: No. 127.

abc: 7.7149 7.7149 3.4224
angles: 90.00 90.00 90.00
Last column: nearest neighbours and their distance in Å.
Fractional positions:
Sb 0.3387 0.8387 0.0000  6 Pt 2.79-2.87, 2 Li 2.89
Pt 0.3635 0.1365 0.5000  6 Sb 2.79-2.87, 1 Pt 2.98
Pt 0.8635 0.3635 0.5000  6 Sb 2.79-2.87, 1 Pt 2.98
Pt 0.1365 0.6365 0.5000  6 Sb 2.79-2.87, 1 Pt 2.98
Sb 0.1613 0.3387 0.0000  6 Pt 2.79-2.87, 2 Li 2.89
Sb 0.6613 0.1613 0.0000  6 Pt 2.79-2.87, 2 Li 2.89
Li 0.0000 0.0000 0.0000  4 Sb 2.89
Sb 0.8387 0.6613 0.0000  6 Pt 2.79-2.87, 2 Li 2.89
Li 0.5000 0.5000 0.0000  4 Sb 2.89
Pt 0.6365 0.8635 0.5000  6 Sb 2.79-2.87, 1 Pt 2.98

Stability, highest: 1

1:
Below is Li4SbPt after structural relaxation, with properties calculated at the PBE-GGA level.

Results
The calculation puts the magnetic moment at 0.000 μB/f.u. The calculation puts the volume at 94.2 Å³/f.u. As for the space-group type: No. 15.

abc: 4.4919 5.3951 8.2251
angles: 70.85 89.97 89.91
Last column: nearest neighbours and their distance in Å.
Fractional positions:
Sb 0.7500 0.3723 0.2553  2 Pt 2.70, 12 Li 2.89-2.99
Pt 0.2500 0.1198 0.7604  2 Sb 2.70, 10 Li 2.82-2.94
Li 0.2498 0.7220 0.0836  5 Li 2.55-2.85, 2 Pt 2.82-2.85
Li 0.2499 0.5488 0.4140  5 Li 2.57-2.76
Li 0.7502 0.2780 0.9164  5 Li 2.55-2.85, 2 Pt 2.82-2.85
Li 0.7499 0.9628 0.5860  5 Li 2.57-2.76
Li 0.7501 0.4512 0.5860  5 Li 2.57-2.76
Li 0.2501 0.0372 0.4140  5 Li 2.57-2.76
Li 0.7498 0.8056 0.9164  5 Li 2.55-2.85, 2 Pt 2.82-2.85
Pt 0.7500 0.8802 0.2396  2 Sb 2.70, 10 Li 2.82-2.94
Li 0.2502 0.1944 0.0836  5 Li 2.55-2.85, 2 Pt 2.82-2.85
Sb 0.2500 0.6277 0.7447  2 Pt 2.70, 12 Li 2.89-2.99

2:
Below is Li4SbPt after structural relaxation, with properties calculated at the PBE-GGA level.

Results
The calculation puts the magnetic moment at 0.630 μB/f.u. The calculation puts the volume at 86.9 Å³/f.u. As for the space-group type: No. 216.

abc: 4.9713 4.9713 4.9713
angles: 60.00 60.00 60.00
Last column: nearest neighbours and their distance in Å.
Fractional positions:
Li 0.3764 0.8709 0.3764  6 Li 2.46-2.51
Sb 0.0000 0.0000 0.0000  12 Li 2.92, 4 Pt 3.04
Li 0.3764 0.3764 0.8709  6 Li 2.46-2.51
Pt 0.7500 0.7500 0.7500  12 Li 2.91, 4 Sb 3.04
Li 0.8709 0.3764 0.3764  6 Li 2.46-2.51
Li 0.3764 0.3764 0.3764  6 Li 2.46-2.51

Stability, highest: 1

1:
Below is Li2Sb2Pt after structural relaxation, with properties calculated at the PBE-GGA level.

Results
The calculation puts the magnetic moment at 0.000 μB/f.u. The calculation puts the volume at 108.6 Å³/f.u. As for the space-group type: No. 127.

abc: 6.9126 6.9126 4.5454
angles: 90.00 90.00 90.00
Last column: nearest neighbours and their distance in Å.
Fractional positions:
Li 0.1631 0.6631 0.5000  6 Sb 2.93-3.13, 1 Li 3.19
Sb 0.3527 0.8527 0.0000  2 Pt 2.64, 1 Sb 2.88, 2 Li 2.93
Pt 0.5000 0.5000 0.0000  4 Sb 2.64
Pt 0.0000 0.0000 0.0000  4 Sb 2.64
Li 0.3369 0.1631 0.5000  6 Sb 2.93-3.13, 1 Li 3.19
Sb 0.8527 0.6473 0.0000  2 Pt 2.64, 1 Sb 2.88, 2 Li 2.93
Li 0.8369 0.3369 0.5000  6 Sb 2.93-3.13, 1 Li 3.19
Sb 0.6473 0.1473 0.0000  2 Pt 2.64, 1 Sb 2.88, 2 Li 2.93
Sb 0.1473 0.3527 0.0000  2 Pt 2.64, 1 Sb 2.88, 2 Li 2.93
Li 0.6631 0.8369 0.5000  6 Sb 2.93-3.13, 1 Li 3.19

2:
Below is Li2Sb2Pt after structural relaxation, with properties calculated at the PBE-GGA level.

Results
The calculation puts the magnetic moment at 0.000 μB/f.u. The calculation puts the volume at 91.5 Å³/f.u. As for the space-group type: No. 127.

abc: 6.6545 6.6545 4.1309
angles: 90.00 90.00 90.00
Last column: nearest neighbours and their distance in Å.
Fractional positions:
Pt 0.5000 0.5000 0.0000  4 Li 2.57
Li 0.1388 0.3612 0.0000  2 Pt 2.57, 1 Li 2.61, 2 Sb 2.71
Sb 0.8256 0.3256 0.5000  6 Li 2.71-2.94
Sb 0.1744 0.6744 0.5000  6 Li 2.71-2.94
Sb 0.3256 0.1744 0.5000  6 Li 2.71-2.94
Li 0.6388 0.1388 0.0000  2 Pt 2.57, 1 Li 2.61, 2 Sb 2.71
Li 0.3612 0.8612 0.0000  2 Pt 2.57, 1 Li 2.61, 2 Sb 2.71
Li 0.8612 0.6388 0.0000  2 Pt 2.57, 1 Li 2.61, 2 Sb 2.71
Sb 0.6744 0.8256 0.5000  6 Li 2.71-2.94
Pt 0.0000 0.0000 0.0000  4 Li 2.57

Stability, highest: 1